The following is a PBE+U calculation of a relaxed VRhO4 crystal, from Alexandria.

Results
As for the crystal system: tetragonal. Its space-group type is I4_1md, No. 109. Its mass density is 5.7 g/cm3. For the total energy, the calculation gives -7.116 eV/atom.

a b c (Å): 5.503 5.503 5.503
angles (deg): 106.84 106.84 114.87
Element x y z (fractional)
O  0.487  0.185  0.698
O  0.039  0.237  0.802
O  0.013  0.315  0.302
O  0.435  0.237  0.198
O  0.487  0.789  0.302
O  0.013  0.711  0.698
O  0.961  0.763  0.198
O  0.565  0.763  0.802
V  0.249  0.749  0.500
V  0.999  0.999  0.000
Rh  0.500  0.500  0.000
Rh  0.750  0.250  0.500